(1)
Compound: Sr3BiCl
Source: Alexandria
Functional: PBEsol
Structure: optimized geometry

abc: 5.5520 5.5520 5.5520
angles: 90.00 90.00 90.00
Closest atoms and distances in Å follow each position.
Fractional positions:
1 Sr 0.0000 0.5000 0.0000  2 Cl 2.78
2 Bi 0.5000 0.5000 0.5000  12 Sr 3.93
3 Sr 0.5000 0.0000 0.0000  2 Cl 2.78
4 Sr 0.0000 0.0000 0.5000  2 Cl 2.78
5 Cl 0.0000 0.0000 0.0000  6 Sr 2.78

- Formation energy (no corrections): -0.85 eV per atom
- Final energy: -3.2123 eV/atom
- V: 171 Å³ per cell
- Crystal system: cubic
- Offset from the most stable computed form: 0 meV per atom



(2)
Compound: CrRu2Br
Source: Alexandria
Functional: PBEsol
Structure: optimized geometry

abc: 4.2786 4.2786 4.2786
angles: 60.00 60.00 60.00
Closest atoms and distances in Å follow each position.
Fractional positions:
1 Cr 0.2500 0.2500 0.2500  4 Br 2.62, 4 Ru 2.62
2 Ru 0.7500 0.7500 0.7500  4 Br 2.62, 4 Ru 2.62
3 Ru 0.0000 0.0000 0.0000  4 Cr 2.62, 4 Ru 2.62
4 Br 0.5000 0.5000 0.5000  4 Cr 2.62, 4 Ru 2.62

- Formation energy (no corrections): 0.98 eV per atom
- Final energy: -7.1390 eV/atom
- V: 55 Å³ per cell
- Crystal system: cubic